P) Compound: PmPrTmAl
Source: Alexandria
Functional: PBE
Structure: optimized geometry

Geometry as CIF:
```
data_PmPrTmAl
_chemical_formula_sum 'Pm4 Pr4 Tm4 Al4'
_symmetry_space_group_name_H-M 'F -4 3 m'
_symmetry_Int_Tables_number 216
_symmetry_space_group_name_Hall 'F -4 2 3'
_cell_length_a 7.693
_cell_length_b 7.693
_cell_length_c 7.693
_cell_angle_alpha 90.00
_cell_angle_beta 90.00
_cell_angle_gamma 90.00
loop_
_atom_site_label
_atom_site_type_symbol
_atom_site_fract_x
_atom_site_fract_y
_atom_site_fract_z
_atom_site_occupancy
Pm1 Pm 0.000 0.000 0.000 1
Pr1 Pr 0.000 0.000 0.500 1
Tm1 Tm 0.250 0.250 0.750 1
Al1 Al 0.250 0.250 0.250 1
```



Q) Compound: PmPrTmAl
Source: Alexandria
Functional: PBE
Structure: optimized geometry

Geometry as CIF:
```
data_PmPrTmAl
_chemical_formula_sum 'Pm1 Pr1 Tm1 Al1'
_symmetry_space_group_name_H-M 'P 4 m m'
_symmetry_Int_Tables_number 99
_symmetry_space_group_name_Hall 'P 4 -2'
_cell_length_a 3.547
_cell_length_b 3.547
_cell_length_c 9.269
_cell_angle_alpha 90.00
_cell_angle_beta 90.00
_cell_angle_gamma 90.00
loop_
_atom_site_label
_atom_site_type_symbol
_atom_site_fract_x
_atom_site_fract_y
_atom_site_fract_z
_atom_site_occupancy
Pm1 Pm 0.000 0.000 0.000 1
Pr1 Pr 0.500 0.500 0.304 1
Tm1 Tm 0.000 0.000 0.584 1
Al1 Al 0.500 0.500 0.783 1
```



Relative energies, in meV per atom, with the most stable structure set to zero: P) 109; Q) 0.